The following is a SCAN calculation of TlSbPb2 at its PBEsol-relaxed geometry, from Alexandria via LeMat-Bulk.

a = 5.4568 Å, b = 5.4568 Å, c = 5.4568 Å
α = 60.00°, β = 60.00°, γ = 60.00°
Atoms (fractional coordinates):
Pb: 0.0000 0.0000 0.0000
Pb: 0.7500 0.7500 0.7500
Sb: 0.5000 0.5000 0.5000
Tl: 0.2500 0.2500 0.2500

Results
density: 10.70 g/cm³
energy above the lowest structure with this stoichiometry: 75.1 meV/atom
calculated volume: 114.89 Å³ per cell
uncorrected energy: -65.20 eV per atom
density of states at the Fermi level: 0.5167 states/eV/atom
space group: F-43m, No. 216

The following is a SCAN calculation of K2ZrSi2O7 at its PBEsol-relaxed geometry, from Alexandria via LeMat-Bulk.

a = 5.6027 Å, b = 9.5587 Å, c = 12.9856 Å
α = 103.78°, β = 90.00°, γ = 90.00°
Atoms (fractional coordinates):
K: 0.7503 0.3899 0.4273
K: 0.2433 0.8810 0.3930
K: 0.2503 0.1101 0.0727
K: 0.7497 0.8899 0.9273
K: 0.2497 0.6101 0.5727
K: 0.7567 0.1190 0.6070
K: 0.7433 0.6190 0.1070
K: 0.2567 0.3810 0.8930
Zr: 0.2480 0.0061 0.7743
Zr: 0.7480 0.4939 0.7257
Zr: 0.7520 0.9939 0.2257
Zr: 0.2520 0.5061 0.2743
Si: 0.7430 0.8056 0.6296
Si: 0.7570 0.3056 0.1296
Si: 0.2430 0.6944 0.8704
Si: 0.2570 0.1944 0.3704
Si: 0.7468 0.7233 0.3875
Si: 0.7532 0.2233 0.8875
Si: 0.2532 0.2767 0.6125
Si: 0.2468 0.7767 0.1125
O: 0.7705 0.8324 0.5078
O: 0.0019 0.1337 0.8816
O: 0.4791 0.8818 0.1302
O: 0.2530 0.8661 0.8776
O: 0.5209 0.1182 0.8698
O: 0.4981 0.6337 0.3816
O: 0.0209 0.3818 0.6302
O: 0.2470 0.3661 0.3776
O: 0.7505 0.3334 0.8090
O: 0.2705 0.6676 0.9922
O: 0.5019 0.3663 0.6184
O: 0.9791 0.6182 0.3698
O: 0.9654 0.8946 0.6942
O: 0.2495 0.6666 0.1910
O: 0.2295 0.1676 0.4922
O: 0.7495 0.8334 0.3090
O: 0.9892 0.6214 0.8259
O: 0.0346 0.1054 0.3058
O: 0.4892 0.8786 0.6741
O: 0.7470 0.1339 0.1224
O: 0.2505 0.1666 0.6910
O: 0.7530 0.6339 0.6224
O: 0.7295 0.3324 0.0078
O: 0.0108 0.3786 0.1741
O: 0.5108 0.1214 0.3259
O: 0.5346 0.3946 0.1942
O: 0.9981 0.8663 0.1184
O: 0.4654 0.6054 0.8058

Results
density: 3.32 g/cm³
energy above the lowest structure with this stoichiometry: 0.0 meV/atom
calculated volume: 675.42 Å³ per cell
uncorrected energy: -12.34 eV per atom
density of states at the Fermi level: 0.0000 states/eV/atom
space group: P2_1/c, No. 14

The following is a SCAN calculation of CuPtCl4 at its PBEsol-relaxed geometry, from Alexandria via LeMat-Bulk.

a = 3.9603 Å, b = 6.4457 Å, c = 12.1716 Å
α = 74.52°, β = 89.99°, γ = 73.08°
Atoms (fractional coordinates):
Cu: 0.4914 0.0000 0.7500
Cu: 0.5086 0.0000 0.2500
Pt: 0.0000 0.0000 0.0000
Pt: 0.0000 0.0000 0.5000
Cl: 0.1259 0.2265 0.0988
Cl: 0.3400 0.7734 0.4011
Cl: 0.6597 0.2311 0.3376
Cl: 0.8790 0.7689 0.1624
Cl: 0.3403 0.7689 0.6624
Cl: 0.8741 0.7735 0.9012
Cl: 0.6600 0.2266 0.5989
Cl: 0.1210 0.2311 0.8376

Results
density: 4.66 g/cm³
calculated volume: 285.45 Å³ per cell
uncorrected energy: -20.07 eV per atom
density of states at the Fermi level: 0.4803 states/eV/atom
space group: P-1, No. 2

The following is a SCAN calculation of CoH3Se at its PBEsol-relaxed geometry, from Alexandria via LeMat-Bulk.

a = 3.5668 Å, b = 3.5668 Å, c = 3.5668 Å
α = 90.00°, β = 90.00°, γ = 90.00°
Atoms (fractional coordinates):
H: 0.0000 0.5000 0.0000
H: 0.0000 0.0000 0.5000
H: 0.5000 0.0000 0.0000
Co: 0.5000 0.5000 0.5000
Se: 0.0000 0.0000 0.0000

Results
density: 5.16 g/cm³
calculated volume: 45.38 Å³ per cell
uncorrected energy: -8.32 eV per atom
density of states at the Fermi level: 0.6908 states/eV/atom
space group: Pm-3m, No. 221

The following is a SCAN calculation of LiIn2I at its PBEsol-relaxed geometry, from Alexandria via LeMat-Bulk.

a = 5.9169 Å, b = 6.8433 Å, c = 6.8433 Å
α = 79.23°, β = 64.39°, γ = 64.39°
Atoms (fractional coordinates):
I: 0.0000 0.0000 0.0000
I: 0.7500 0.5000 0.5000
Li: 0.5000 0.0000 0.0000
Li: 0.2500 0.5000 0.5000
In: 0.8750 0.9686 0.5314
In: 0.3750 0.0314 0.4686
In: 0.5936 0.5314 0.0314
In: 0.1564 0.4686 0.9686

Results
density: 5.36 g/cm³
calculated volume: 225.30 Å³ per cell
uncorrected energy: -26.62 eV per atom
density of states at the Fermi level: 0.4709 states/eV/atom
space group: I-42d, No. 122

The following is a SCAN calculation of MnReNi6 at its PBEsol-relaxed geometry, from Alexandria via LeMat-Bulk.

a = 6.1416 Å, b = 6.1416 Å, c = 10.0311 Å
α = 90.00°, β = 90.00°, γ = 109.37°
Atoms (fractional coordinates):
Mn: 0.2509 0.7491 0.0000
Mn: 0.7491 0.2509 0.0000
Mn: 0.5000 0.5000 0.7535
Mn: 0.5000 0.5000 0.2465
Ni: 0.2490 0.7510 0.7480
Ni: 0.8759 0.6262 0.8747
Ni: 0.1241 0.3738 0.8747
Ni: 0.7510 0.2490 0.7480
Ni: 0.3738 0.1241 0.8747
Ni: 0.6262 0.8759 0.8747
Ni: 0.5000 0.5000 0.5000
Ni: 0.1224 0.3734 0.6248
Ni: 0.3734 0.1224 0.6248
Ni: 0.2490 0.7510 0.2520
Ni: 0.8776 0.6266 0.3752
Ni: 0.1224 0.3734 0.3752
Ni: 0.7510 0.2490 0.2520
Ni: 0.3734 0.1224 0.3752
Ni: 0.6266 0.8776 0.3752
Ni: 0.5000 0.5000 0.0000
Ni: 0.1241 0.3738 0.1253
Ni: 0.3738 0.1241 0.1253
Ni: 0.0000 0.0000 0.5000
Ni: 0.6266 0.8776 0.6248
Ni: 0.8776 0.6266 0.6248
Ni: 0.0000 0.0000 0.0000
Ni: 0.6262 0.8759 0.1253
Ni: 0.8759 0.6262 0.1253
Re: 0.2513 0.7487 0.5000
Re: 0.7487 0.2513 0.5000
Re: 0.0000 0.0000 0.7564
Re: 0.0000 0.0000 0.2436

Results
density: 11.04 g/cm³
formation energy from the elements: -0.062 eV per atom
calculated volume: 356.94 Å³ per cell
uncorrected energy: -23.36 eV per atom
density of states at the Fermi level: 0.9626 states/eV/atom
space group: Cmmm, No. 65

The following is a SCAN calculation of NaBiI2N at its PBEsol-relaxed geometry, from Alexandria via LeMat-Bulk.

a = 4.3239 Å, b = 5.7654 Å, c = 5.7654 Å
α = 90.00°, β = 90.00°, γ = 90.00°
Atoms (fractional coordinates):
I: 0.0000 0.0000 0.5000
I: 0.0000 0.5000 0.0000
Na: 0.0000 0.0000 0.0000
Bi: 0.5000 0.5000 0.5000
N: 0.5000 0.0000 0.0000

Results
density: 5.77 g/cm³
energy above the lowest structure with this stoichiometry: 479.8 meV/atom
calculated volume: 143.73 Å³ per cell
uncorrected energy: -32.44 eV per atom
density of states at the Fermi level: 0.8146 states/eV/atom
space group: P4/mmm, No. 123

The following is a SCAN calculation of PAuSeN2 at its PBEsol-relaxed geometry, from Alexandria via LeMat-Bulk.

a = 3.7127 Å, b = 3.7127 Å, c = 7.1218 Å
α = 90.00°, β = 90.00°, γ = 90.00°
Atoms (fractional coordinates):
P: 0.5000 0.5000 0.5000
Au: 0.0000 0.0000 0.0000
Se: 0.0000 0.0000 0.5000
N: 0.0000 0.5000 0.0000
N: 0.5000 0.0000 0.0000

Results
density: 5.67 g/cm³
calculated volume: 98.17 Å³ per cell
uncorrected energy: -21.77 eV per atom
density of states at the Fermi level: 0.7242 states/eV/atom
space group: P4/mmm, No. 123

The following is a SCAN calculation of LiLaBr2 at its PBEsol-relaxed geometry, from Alexandria via LeMat-Bulk.

a = 3.7393 Å, b = 3.7393 Å, c = 7.9812 Å
α = 76.45°, β = 76.45°, γ = 60.00°
Atoms (fractional coordinates):
La: 0.5000 0.5000 0.5000
Br: 0.2653 0.2653 0.2042
Br: 0.7347 0.7347 0.7958
Li: 0.0000 0.0000 0.0000

Results
density: 5.45 g/cm³
energy above the lowest structure with this stoichiometry: 0.0 meV/atom
calculated volume: 93.04 Å³ per cell
uncorrected energy: -22.70 eV per atom
density of states at the Fermi level: 0.2146 states/eV/atom
space group: R-3m, No. 166

The following is a SCAN calculation of KCeP4O12 at its PBEsol-relaxed geometry, from Alexandria via LeMat-Bulk.

a = 7.4264 Å, b = 10.1512 Å, c = 13.3110 Å
α = 90.00°, β = 90.00°, γ = 89.69°
Atoms (fractional coordinates):
K: 0.0029 0.9315 0.2267
K: 0.4971 0.5685 0.7267
K: 0.9971 0.0685 0.7733
K: 0.5029 0.4315 0.2733
Ce: 0.4918 0.9782 0.7810
Ce: 0.0082 0.5218 0.2810
Ce: 0.5082 0.0218 0.2190
Ce: 0.9918 0.4782 0.7190
P: 0.2339 0.7531 0.5990
P: 0.2661 0.7469 0.0990
P: 0.7661 0.2469 0.4010
P: 0.7339 0.2531 0.9010
P: 0.1401 0.7600 0.8862
P: 0.3599 0.7400 0.3862
P: 0.8599 0.2400 0.1138
P: 0.6401 0.2600 0.6138
P: 0.8436 0.7994 0.6251
P: 0.6564 0.7006 0.1251
P: 0.1564 0.2006 0.3749
P: 0.3436 0.2994 0.8749
P: 0.7452 0.7958 0.4093
P: 0.7548 0.7042 0.9093
P: 0.2548 0.2042 0.5907
P: 0.2452 0.2958 0.0907
O: 0.7667 0.8861 0.7056
O: 0.7333 0.6139 0.2056
O: 0.2333 0.1139 0.2944
O: 0.2667 0.3861 0.7944
O: 0.9350 0.7917 0.9193
O: 0.5650 0.7083 0.4193
O: 0.0650 0.2083 0.0807
O: 0.4350 0.2917 0.5807
O: 0.3538 0.8484 0.3103
O: 0.1462 0.6516 0.8103
O: 0.6462 0.1516 0.6897
O: 0.8538 0.3484 0.1897
O: 0.2200 0.8902 0.8587
O: 0.2800 0.6098 0.3587
O: 0.7800 0.1098 0.1413
O: 0.7200 0.3902 0.6413
O: 0.0541 0.8381 0.6203
O: 0.4459 0.6619 0.1203
O: 0.9459 0.1619 0.3797
O: 0.5541 0.3381 0.8797
O: 0.3827 0.8082 0.6625
O: 0.1173 0.6918 0.1625
O: 0.6173 0.1918 0.3375
O: 0.8827 0.3082 0.8375
O: 0.7662 0.8546 0.5209
O: 0.7338 0.6454 0.0209
O: 0.2338 0.1454 0.4791
O: 0.2662 0.3546 0.9791
O: 0.2696 0.7986 0.4853
O: 0.2304 0.7014 0.9853
O: 0.7304 0.2014 0.5147
O: 0.7696 0.2986 0.0147
O: 0.7119 0.9122 0.3427
O: 0.7881 0.5878 0.8427
O: 0.2881 0.0878 0.6573
O: 0.2119 0.4122 0.1573
O: 0.3007 0.8923 0.1053
O: 0.1993 0.6077 0.6053
O: 0.6993 0.1077 0.8947
O: 0.8007 0.3923 0.3947
O: 0.6785 0.8465 0.1325
O: 0.8215 0.6535 0.6325
O: 0.3215 0.1535 0.8675
O: 0.1785 0.3465 0.3675
O: 0.5995 0.7940 0.8860
O: 0.9005 0.7060 0.3860
O: 0.4005 0.2060 0.1140
O: 0.0995 0.2940 0.6140

Results
density: 3.28 g/cm³
calculated volume: 1003.46 Å³ per cell
uncorrected energy: -12.11 eV per atom
space group: P2_1/c, No. 14

The following is a SCAN calculation of LiScMo2 at its PBEsol-relaxed geometry, from Alexandria via LeMat-Bulk.

a = 2.8193 Å, b = 2.8193 Å, c = 10.0969 Å
α = 81.97°, β = 81.97°, γ = 60.00°
Atoms (fractional coordinates):
Li: 0.2553 0.2553 0.2342
Mo: 0.0035 0.0035 0.9896
Mo: 0.7468 0.7468 0.7596
Sc: 0.4945 0.4945 0.5166

Results
density: 5.90 g/cm³
formation energy from the elements: 0.509 eV per atom
energy above the lowest structure with this stoichiometry: 244.8 meV/atom
calculated volume: 68.59 Å³ per cell
uncorrected energy: -21.09 eV per atom
density of states at the Fermi level: 1.0772 states/eV/atom
space group: R3m, No. 160

The following is a SCAN calculation of InReTe at its PBEsol-relaxed geometry, from Alexandria via LeMat-Bulk.

a = 3.3357 Å, b = 3.3357 Å, c = 6.4628 Å
α = 90.00°, β = 90.00°, γ = 120.00°
Atoms (fractional coordinates):
In: 0.0000 0.0000 0.9701
Re: 0.3333 0.6667 0.6539
Te: 0.6667 0.3333 0.3760

Results
density: 11.43 g/cm³
energy above the lowest structure with this stoichiometry: 0.0 meV/atom
calculated volume: 62.28 Å³ per cell
uncorrected energy: -46.77 eV per atom
density of states at the Fermi level: 0.4740 states/eV/atom
space group: P3m1, No. 156

Question: Number 2 is which compound?
Answer: K2ZrSi2O7

Repeat the third record exactly.
The following is a SCAN calculation of CuPtCl4 at its PBEsol-relaxed geometry, from Alexandria via LeMat-Bulk.

a = 3.9603 Å, b = 6.4457 Å, c = 12.1716 Å
α = 74.52°, β = 89.99°, γ = 73.08°
Atoms (fractional coordinates):
Cu: 0.4914 0.0000 0.7500
Cu: 0.5086 0.0000 0.2500
Pt: 0.0000 0.0000 0.0000
Pt: 0.0000 0.0000 0.5000
Cl: 0.1259 0.2265 0.0988
Cl: 0.3400 0.7734 0.4011
Cl: 0.6597 0.2311 0.3376
Cl: 0.8790 0.7689 0.1624
Cl: 0.3403 0.7689 0.6624
Cl: 0.8741 0.7735 0.9012
Cl: 0.6600 0.2266 0.5989
Cl: 0.1210 0.2311 0.8376

Results
density: 4.66 g/cm³
calculated volume: 285.45 Å³ per cell
uncorrected energy: -20.07 eV per atom
density of states at the Fermi level: 0.4803 states/eV/atom
space group: P-1, No. 2

Question: Which value of calculated volume does entry 4 give?
Answer: 45.38 Å³ per cell

Question: Which of these has the lowest calculated volume?
Answer: CoH3Se